Cs2UMo3O12: relaxed, PBE+U.

Geometry as POSCAR:
```
Cs2UMo3O12
1.0
-5.221 4.191 -3.710
-7.064 -2.612 -1.365
-6.140 2.885 3.544
O Mo Cs U
12 3 2 1
Cartesian
-12.900 5.728 -0.603
-8.898 3.996 -2.800
-4.968 2.045 2.028
-5.524 -1.264 -0.927
-13.457 2.419 -3.558
-8.948 1.289 -3.294
-9.526 0.467 1.270
-8.367 4.747 -0.205
-10.057 -0.283 -1.325
-4.415 2.831 -2.339
-9.476 3.175 1.764
-14.010 1.633 0.809
-3.532 -1.306 -0.682
-2.611 2.095 -1.855
-3.070 1.442 1.772
-6.974 1.690 -0.579
-11.450 2.774 -0.951
0.000 0.000 0.000
```

* Fermi-level density of states: 0.11 states/eV per atom
* magnetization: 2.00 Bohr magnetons per cell
* energy: -7.261 eV per atom
* calculated density: 5.39 g/cm³

CsV2MoO8: relaxed, PBE+U.

Geometry as POSCAR:
```
CsV2MoO8
1.0
5.665 0.000 0.000
-2.833 4.906 0.000
0.000 0.000 8.409
O Mo V Cs
8 1 2 1
Cartesian
4.292 0.804 3.046
0.000 3.271 7.593
2.823 3.315 3.046
1.383 0.787 3.046
2.832 1.635 0.817
0.010 1.591 5.363
-1.459 4.102 5.363
1.449 4.119 5.363
0.000 0.000 4.205
0.000 3.271 5.940
2.832 1.635 2.469
0.000 0.000 0.000
```

* Fermi-level density of states: 0.20 states/eV per atom
* magnetization: 1.00 Bohr magnetons per cell
* energy: -7.064 eV per atom
* calculated density: 3.26 g/cm³

CsVMoO6: relaxed, PBE+U.

Geometry as POSCAR:
```
CsVMoO6
1.0
-2.090 -4.146 -2.354
3.075 -3.497 -2.327
0.405 -3.473 5.756
O Cs V Mo
6 1 1 1
Cartesian
-0.698 -6.725 -1.374
0.219 -6.223 1.463
2.492 -7.428 0.576
1.112 -4.929 -0.417
0.068 -8.555 0.067
1.964 -7.116 -1.797
-2.087 -4.173 -2.309
0.842 -6.676 -0.501
0.548 -4.427 1.554
```

* Fermi-level density of states: 0.00 states/eV per atom
* magnetization: 0.00 Bohr magnetons per cell
* energy: -6.809 eV per atom
* calculated density: 3.95 g/cm³

Cs2YMoO6: relaxed, PBE+U.

Geometry as POSCAR:
```
Cs2YMoO6
1.0
5.868 0.000 0.000
0.000 6.804 0.000
0.000 -3.402 5.892
Cs O Mo Y
2 6 1 1
Cartesian
5.098 3.402 1.964
0.770 0.000 3.928
4.651 0.000 1.528
1.217 5.481 0.764
1.217 3.402 4.364
4.651 2.079 5.128
1.217 1.323 0.764
4.651 -2.079 5.128
0.000 0.000 0.000
2.934 0.000 0.000
```

* Fermi-level density of states: 0.16 states/eV per atom
* magnetization: 1.05 Bohr magnetons per cell
* energy: -6.395 eV per atom
* calculated density: 3.86 g/cm³

Number 1: V 303 Å³ per cell. Number 2: V 234 Å³ per cell. Number 3: V 158 Å³ per cell. Number 4: V 235 Å³ per cell.